The following is a DFT calculation (PBE with a Hubbard U) of a relaxed TaFeTeO6 crystal.

Structure (POSCAR):
```
TaFeTeO6
1.0
-1.402 -5.026 1.231
1.372 1.244 -5.031
8.434 -1.905 1.830
O Ta Fe Te
12 2 2 2
Cartesian
3.171 -1.880 -0.654
5.233 -3.807 -1.316
4.359 -5.696 0.749
1.507 0.056 -1.464
1.964 -0.627 -4.278
7.317 -2.993 0.422
1.088 -2.693 -2.392
4.045 0.009 -2.719
6.897 -5.743 -0.506
4.843 -2.888 1.441
6.441 -5.060 2.308
3.562 -2.798 -3.411
2.556 -1.322 -2.486
5.848 -4.365 0.516
4.217 -0.952 0.915
0.000 0.000 0.000
6.773 -2.275 -1.571
1.631 -3.412 -0.399
```

Properties
Raw total energy in eV per atom: -7.28
Space group: P-31c, No. 163
Volume in Å³/f.u.: 110.0